Entry 1:
This record from Alexandria describes NaAsO3 at its PBEsol-relaxed geometry. The functional is meta-GGA SCAN.

Cell and atoms, written as POSCAR:
```
NaAsO3
1.0
7.352 -0.028 0.075
-0.071 7.505 0.009
-0.288 -1.931 7.810
Na As O
6 6 18
direct
0.757 0.576 0.789 Na
0.243 0.424 0.211 Na
0.740 0.058 0.777 Na
0.260 0.942 0.223 Na
0.984 0.250 0.511 Na
0.016 0.750 0.489 Na
0.550 0.719 0.388 As
0.450 0.281 0.612 As
0.789 0.945 0.165 As
0.211 0.055 0.835 As
0.769 0.374 0.177 As
0.231 0.626 0.823 As
0.679 0.160 0.197 O
0.299 0.228 0.449 O
0.326 0.736 0.408 O
0.674 0.264 0.592 O
0.591 0.836 0.222 O
0.409 0.164 0.778 O
0.054 0.555 0.689 O
0.946 0.445 0.311 O
0.042 0.046 0.691 O
0.958 0.954 0.309 O
0.220 0.628 0.029 O
0.569 0.487 0.268 O
0.184 0.136 0.043 O
0.816 0.864 0.957 O
0.321 0.840 0.803 O
0.780 0.372 0.971 O
0.431 0.513 0.732 O
0.701 0.772 0.551 O
```

Calculated values
Uncorrected formation energy ... -1.620 eV per atom
DOS at the Fermi energy ... 0.00 states/eV per cell
Crystal system ... triclinic
VASP energy ... -10.24 eV per atom

---

Entry 2:
This record from Alexandria describes NaAsPO2 at its PBEsol-relaxed geometry. The functional is meta-GGA SCAN.

Cell and atoms, written as POSCAR:
```
NaAsPO2
1.0
3.781 0.000 0.000
0.000 3.781 0.000
0.000 0.000 4.959
P As O Na
1 1 2 1
direct
0.000 0.000 0.500 P
0.000 0.000 0.000 As
0.000 0.500 0.000 O
0.500 0.000 0.000 O
0.500 0.500 0.500 Na
```

Calculated values
Uncorrected formation energy ... -0.301 eV per atom
DOS at the Fermi energy ... 2.08 states/eV per cell
Crystal system ... tetragonal
VASP energy ... -9.75 eV per atom

---

Entry 3:
This record from Alexandria describes NaAs3Pb4O12 at its PBEsol-relaxed geometry. The functional is meta-GGA SCAN.

Cell and atoms, written as POSCAR:
```
NaAs3Pb4O12
1.0
-6.969 -1.734 1.522
2.232 -9.729 -0.862
0.807 4.557 8.886
Na As Pb O
2 6 8 24
direct
0.001 0.667 0.333 Na
0.501 0.333 0.667 Na
0.250 0.624 0.020 As
0.250 0.980 0.604 As
0.250 0.396 0.376 As
0.750 0.376 0.980 As
0.750 0.020 0.396 As
0.750 0.604 0.624 As
0.742 0.257 0.257 Pb
0.742 0.743 0.001 Pb
0.742 0.999 0.743 Pb
0.242 0.743 0.743 Pb
0.242 0.257 0.999 Pb
0.242 0.001 0.257 Pb
0.017 0.333 0.667 Pb
0.517 0.667 0.333 Pb
0.575 0.076 0.321 O
0.575 0.679 0.755 O
0.575 0.245 0.924 O
0.075 0.924 0.679 O
0.075 0.321 0.245 O
0.075 0.755 0.076 O
0.440 0.900 0.638 O
0.440 0.362 0.262 O
0.440 0.738 0.100 O
0.940 0.100 0.362 O
0.940 0.638 0.738 O
0.940 0.262 0.900 O
0.226 0.517 0.111 O
0.226 0.889 0.406 O
0.226 0.594 0.483 O
0.726 0.483 0.889 O
0.726 0.111 0.594 O
0.726 0.406 0.517 O
0.261 0.175 0.686 O
0.261 0.314 0.489 O
0.261 0.511 0.825 O
0.761 0.825 0.314 O
0.761 0.686 0.511 O
0.761 0.489 0.175 O
```

Calculated values
Uncorrected formation energy ... -1.483 eV per atom
DOS at the Fermi energy ... 0.00 states/eV per cell
Crystal system ... hexagonal
VASP energy ... -23.62 eV per atom

---

Entry 4:
This record from Alexandria describes Na2ThAs2O8 at its PBEsol-relaxed geometry. The functional is meta-GGA SCAN.

Cell and atoms, written as POSCAR:
```
Na2ThAs2O8
1.0
-0.311 -5.436 4.472
0.513 -6.638 -2.483
8.945 -2.398 3.259
Na Th As O
4 2 4 16
direct
0.396 0.500 0.209 Na
0.104 0.500 0.791 Na
0.354 0.000 0.291 Na
0.646 0.000 0.709 Na
0.750 0.500 0.500 Th
0.000 0.000 0.000 Th
0.572 0.500 0.856 As
0.928 0.500 0.144 As
0.178 0.000 0.644 As
0.822 0.000 0.356 As
0.491 0.428 0.737 O
0.656 0.572 0.263 O
0.081 0.428 0.263 O
0.772 0.572 0.737 O
0.259 0.072 0.763 O
0.094 0.928 0.237 O
0.669 0.072 0.237 O
0.978 0.928 0.763 O
0.665 0.292 0.973 O
0.929 0.708 0.027 O
0.044 0.292 0.027 O
0.363 0.708 0.973 O
0.085 0.208 0.527 O
0.821 0.792 0.473 O
0.706 0.208 0.473 O
0.387 0.792 0.527 O
```

Calculated values
Uncorrected formation energy ... -2.261 eV per atom
DOS at the Fermi energy ... 0.00 states/eV per cell
Crystal system ... orthorhombic
VASP energy ... -17.23 eV per atom

---

Entry 5:
This record from Alexandria describes NaTiAsO5 at its PBEsol-relaxed geometry. The functional is meta-GGA SCAN.

Cell and atoms, written as POSCAR:
```
NaTiAsO5
1.0
-1.894 5.085 3.975
-3.400 -6.210 1.272
6.240 -2.225 5.819
Na Ti As O
4 4 4 20
direct
0.753 0.761 0.574 Na
0.247 0.739 0.074 Na
0.247 0.239 0.426 Na
0.753 0.261 0.926 Na
0.252 0.985 0.756 Ti
0.748 0.515 0.256 Ti
0.748 0.015 0.244 Ti
0.252 0.485 0.744 Ti
0.751 0.752 0.933 As
0.249 0.748 0.433 As
0.249 0.248 0.067 As
0.751 0.252 0.567 As
0.945 0.921 0.817 O
0.055 0.579 0.317 O
0.055 0.079 0.183 O
0.945 0.421 0.683 O
0.563 0.584 0.812 O
0.437 0.916 0.312 O
0.437 0.416 0.188 O
0.563 0.084 0.688 O
0.851 0.612 0.042 O
0.149 0.888 0.542 O
0.149 0.388 0.958 O
0.851 0.112 0.458 O
0.643 0.887 0.039 O
0.357 0.613 0.539 O
0.357 0.113 0.961 O
0.643 0.387 0.461 O
0.251 0.750 0.812 O
0.749 0.750 0.312 O
0.749 0.250 0.188 O
0.251 0.250 0.688 O
```

Calculated values
Uncorrected formation energy ... -2.314 eV per atom
DOS at the Fermi energy ... 0.00 states/eV per cell
Crystal system ... monoclinic
VASP energy ... -11.26 eV per atom

---

Entry 6:
This record from Alexandria describes NaTi2As3O12 at its PBEsol-relaxed geometry. The functional is meta-GGA SCAN.

Cell and atoms, written as POSCAR:
```
NaTi2As3O12
1.0
-3.241 -8.281 0.790
5.286 -6.610 2.842
-1.291 -3.522 8.232
Na Ti As O
2 4 6 24
direct
0.500 0.500 0.500 Na
0.000 0.000 0.000 Na
0.358 0.358 0.927 Ti
0.858 0.858 0.427 Ti
0.642 0.642 0.073 Ti
0.142 0.142 0.573 Ti
0.963 0.250 0.250 As
0.250 0.537 0.250 As
0.537 0.963 0.250 As
0.750 0.463 0.750 As
0.463 0.037 0.750 As
0.037 0.750 0.750 As
0.143 0.293 0.062 O
0.293 0.502 0.062 O
0.502 0.143 0.062 O
0.793 0.643 0.562 O
0.643 0.002 0.562 O
0.002 0.793 0.562 O
0.857 0.707 0.938 O
0.707 0.498 0.938 O
0.498 0.857 0.938 O
0.207 0.357 0.438 O
0.357 0.998 0.438 O
0.998 0.207 0.438 O
0.234 0.569 0.753 O
0.569 0.443 0.753 O
0.443 0.234 0.753 O
0.069 0.734 0.253 O
0.734 0.943 0.253 O
0.943 0.069 0.253 O
0.766 0.431 0.247 O
0.431 0.557 0.247 O
0.557 0.766 0.247 O
0.931 0.266 0.747 O
0.266 0.057 0.747 O
0.057 0.931 0.747 O
```

Calculated values
Uncorrected formation energy ... -2.085 eV per atom
DOS at the Fermi energy ... 0.00 states/eV per cell
Crystal system ... trigonal
VASP energy ... -11.62 eV per atom

---

Entry 7:
This record from Alexandria describes NaVAsO5 at its PBEsol-relaxed geometry. The functional is meta-GGA SCAN.

Cell and atoms, written as POSCAR:
```
NaVAsO5
1.0
-4.165 2.840 -4.348
4.523 -4.510 -2.887
-5.726 -6.524 1.223
Na V As O
4 4 4 20
direct
0.750 0.750 0.426 Na
0.250 0.750 0.926 Na
0.250 0.250 0.574 Na
0.750 0.250 0.074 Na
0.250 0.500 0.250 V
0.750 0.000 0.750 V
0.750 0.500 0.750 V
0.250 0.000 0.250 V
0.750 0.250 0.435 As
0.250 0.250 0.935 As
0.250 0.750 0.565 As
0.750 0.750 0.065 As
0.558 0.080 0.313 O
0.442 0.420 0.813 O
0.442 0.920 0.687 O
0.558 0.580 0.187 O
0.355 0.607 0.459 O
0.645 0.893 0.959 O
0.645 0.393 0.541 O
0.355 0.107 0.041 O
0.250 0.250 0.302 O
0.750 0.250 0.802 O
0.750 0.750 0.698 O
0.250 0.750 0.198 O
0.145 0.394 0.042 O
0.855 0.106 0.542 O
0.855 0.606 0.958 O
0.145 0.894 0.458 O
0.942 0.920 0.186 O
0.058 0.580 0.686 O
0.058 0.080 0.814 O
0.942 0.420 0.314 O
```

Calculated values
Uncorrected formation energy ... -2.059 eV per atom
DOS at the Fermi energy ... 1.58 states/eV per cell
Crystal system ... monoclinic
VASP energy ... -11.19 eV per atom

---

Entry 8:
This record from Alexandria describes NaZnAsO4 at its PBEsol-relaxed geometry. The functional is meta-GGA SCAN.

Cell and atoms, written as POSCAR:
```
NaZnAsO4
1.0
-3.412 -1.333 -7.387
1.064 -8.881 1.110
-7.578 4.013 2.777
Na Zn As O
6 6 6 24
direct
0.811 0.333 0.667 Na
0.311 0.667 0.333 Na
0.299 0.000 0.000 Na
0.799 0.000 0.000 Na
0.228 0.333 0.667 Na
0.728 0.667 0.333 Na
0.105 0.015 0.339 Zn
0.605 0.339 0.323 Zn
0.605 0.677 0.015 Zn
0.605 0.985 0.661 Zn
0.105 0.661 0.677 Zn
0.105 0.323 0.985 Zn
0.998 0.342 0.314 As
0.498 0.314 0.972 As
0.498 0.028 0.342 As
0.998 0.972 0.658 As
0.998 0.686 0.028 As
0.498 0.658 0.686 As
0.316 0.133 0.395 O
0.521 0.532 0.101 O
0.521 0.899 0.431 O
0.021 0.101 0.569 O
0.021 0.468 0.899 O
0.521 0.569 0.468 O
0.005 0.123 0.221 O
0.505 0.221 0.098 O
0.505 0.902 0.123 O
0.005 0.098 0.877 O
0.005 0.779 0.902 O
0.505 0.877 0.779 O
0.644 0.587 0.772 O
0.144 0.772 0.185 O
0.816 0.395 0.262 O
0.644 0.185 0.413 O
0.644 0.228 0.815 O
0.144 0.413 0.228 O
0.316 0.605 0.738 O
0.816 0.738 0.133 O
0.816 0.867 0.605 O
0.144 0.815 0.587 O
0.316 0.262 0.867 O
0.021 0.431 0.532 O
```

Calculated values
Uncorrected formation energy ... -1.693 eV per atom
Energy above the most stable polymorph in this dataset ... 0.004 eV/atom
DOS at the Fermi energy ... 0.00 states/eV per cell
Crystal system ... hexagonal
VASP energy ... -10.67 eV per atom

---

Entry 9:
This record from Alexandria describes NaZnAsO4 at its PBEsol-relaxed geometry. The functional is meta-GGA SCAN.

Cell and atoms, written as POSCAR:
```
NaZnAsO4
1.0
8.232 0.000 0.000
0.000 8.964 -0.002
0.000 0.053 15.721
Na Zn As O
12 12 12 48
direct
0.533 0.271 0.429 Na
0.033 0.229 0.071 Na
0.467 0.729 0.571 Na
0.967 0.771 0.929 Na
0.960 0.238 0.412 Na
0.460 0.262 0.088 Na
0.040 0.762 0.588 Na
0.540 0.738 0.912 Na
0.975 0.757 0.245 Na
0.475 0.743 0.255 Na
0.025 0.243 0.755 Na
0.525 0.257 0.745 Na
0.164 0.564 0.092 Zn
0.664 0.936 0.408 Zn
0.836 0.436 0.908 Zn
0.336 0.064 0.592 Zn
0.168 0.596 0.421 Zn
0.668 0.904 0.079 Zn
0.832 0.404 0.579 Zn
0.332 0.096 0.921 Zn
0.671 0.420 0.259 Zn
0.171 0.080 0.241 Zn
0.329 0.580 0.741 Zn
0.829 0.920 0.759 Zn
0.769 0.562 0.090 As
0.269 0.938 0.410 As
0.231 0.438 0.910 As
0.731 0.062 0.590 As
0.224 0.391 0.581 As
0.724 0.109 0.919 As
0.776 0.609 0.419 As
0.276 0.891 0.081 As
0.274 0.423 0.267 As
0.774 0.077 0.233 As
0.726 0.577 0.733 As
0.226 0.923 0.767 As
0.256 0.270 0.202 O
0.756 0.230 0.298 O
0.744 0.730 0.798 O
0.244 0.770 0.702 O
0.253 0.580 0.206 O
0.753 0.920 0.294 O
0.747 0.420 0.794 O
0.247 0.080 0.706 O
0.266 0.418 0.017 O
0.766 0.082 0.483 O
0.734 0.582 0.983 O
0.234 0.918 0.517 O
0.274 0.764 0.365 O
0.774 0.736 0.135 O
0.726 0.236 0.635 O
0.226 0.264 0.865 O
0.949 0.472 0.108 O
0.449 0.028 0.392 O
0.051 0.528 0.892 O
0.551 0.972 0.608 O
0.043 0.318 0.547 O
0.623 0.457 0.139 O
0.377 0.543 0.861 O
0.877 0.957 0.639 O
0.129 0.767 0.050 O
0.629 0.733 0.450 O
0.871 0.233 0.950 O
0.371 0.267 0.550 O
0.780 0.590 0.311 O
0.280 0.910 0.189 O
0.220 0.410 0.689 O
0.720 0.090 0.811 O
0.259 0.562 0.535 O
0.759 0.938 0.965 O
0.741 0.438 0.465 O
0.241 0.062 0.035 O
0.366 0.923 0.848 O
0.866 0.577 0.652 O
0.634 0.077 0.152 O
0.134 0.423 0.348 O
0.041 0.931 0.817 O
0.541 0.569 0.683 O
0.959 0.069 0.183 O
0.459 0.431 0.317 O
0.457 0.818 0.047 O
0.957 0.682 0.453 O
0.543 0.182 0.953 O
0.123 0.043 0.361 O
```

Calculated values
Uncorrected formation energy ... -1.697 eV per atom
Energy above the most stable polymorph in this dataset ... 0.000 eV/atom
DOS at the Fermi energy ... 0.00 states/eV per cell
Crystal system ... monoclinic
VASP energy ... -10.67 eV per atom

---

Entry 10:
This record from Alexandria describes NaZr2As3O12 at its PBEsol-relaxed geometry. The functional is meta-GGA SCAN.

Cell and atoms, written as POSCAR:
```
NaZr2As3O12
1.0
9.238 0.000 0.000
4.619 8.000 0.000
4.619 2.667 7.704
Na Zr As O
2 4 6 24
direct
0.000 0.000 0.000 Na
0.500 0.500 0.500 Na
0.857 0.857 0.428 Zr
0.643 0.643 0.072 Zr
0.357 0.357 0.928 Zr
0.143 0.143 0.572 Zr
0.459 0.041 0.750 As
0.250 0.541 0.250 As
0.750 0.459 0.750 As
0.541 0.959 0.250 As
0.041 0.750 0.750 As
0.959 0.250 0.250 As
0.700 0.499 0.930 O
0.061 0.923 0.751 O
0.629 0.001 0.570 O
0.439 0.234 0.749 O
0.300 0.501 0.070 O
0.266 0.061 0.751 O
0.939 0.077 0.249 O
0.423 0.561 0.251 O
0.561 0.766 0.251 O
0.871 0.700 0.930 O
0.734 0.939 0.249 O
0.371 0.999 0.430 O
0.200 0.371 0.430 O
0.999 0.200 0.430 O
0.077 0.734 0.249 O
0.129 0.300 0.070 O
0.577 0.439 0.749 O
0.001 0.800 0.570 O
0.800 0.629 0.570 O
0.234 0.577 0.749 O
0.766 0.423 0.251 O
0.499 0.871 0.930 O
0.501 0.129 0.070 O
0.923 0.266 0.751 O
```

Calculated values
Uncorrected formation energy ... -2.271 eV per atom
DOS at the Fermi energy ... 0.00 states/eV per cell
Crystal system ... trigonal
VASP energy ... -13.44 eV per atom

---

Entry 11:
This record from Alexandria describes NaAs2Os2 at its PBEsol-relaxed geometry. The functional is meta-GGA SCAN.

Cell and atoms, written as POSCAR:
```
NaAs2Os2
1.0
4.323 0.000 0.000
0.000 4.323 0.000
-2.161 -2.161 4.838
Na As Os
1 2 2
direct
0.000 0.000 0.000 Na
0.250 0.750 0.500 As
0.750 0.250 0.500 As
0.376 0.376 0.752 Os
0.624 0.624 0.248 Os
```

Calculated values
DOS at the Fermi energy ... 1.80 states/eV per cell
Energy of formation ... 0.1200 eV per atom
Crystal system ... tetragonal
VASP energy ... -37.55 eV per atom

---

Question: What is the formula in the eighth record?
Answer: NaZnAsO4